1.
{
  "formula": "PrTm2Zn3CdIn2",
  "functional": "PBE",
  "state": "optimized geometry",
  "final_energy_ev_per_cell": -27.02,
  "vol_a3_per_fu": 206.4,
  "lattice_angstrom": [[4.607, 0.000, 0.000], [0.000, 6.312, 3.549], [0.000, -6.312, 3.549]],
  "species": ["Pr", "Tm", "Tm", "Zn", "Zn", "Zn", "Cd", "In", "In"],
  "frac_coords": [[0.000, 0.000, 0.000], [0.000, 0.145, 0.577], [0.000, 0.577, 0.145], [0.500, 0.337, 0.337], [0.500, 0.572, 0.804], [0.500, 0.804, 0.572], [0.000, 0.557, 0.557], [0.500, 0.247, 0.904], [0.500, 0.904, 0.247]]
}

2.
{
  "formula": "Cd2InPt",
  "functional": "PBE",
  "state": "optimized geometry",
  "final_energy_ev_per_cell": -11.02,
  "vol_a3_per_fu": 78.2,
  "lattice_angstrom": [[0.000, 3.394, 3.394], [3.394, 0.000, 3.394], [3.394, 3.394, 0.000]],
  "species": ["Cd", "Cd", "In", "Pt"],
  "frac_coords": [[0.000, 0.000, 0.000], [0.250, 0.250, 0.250], [0.500, 0.500, 0.500], [0.750, 0.750, 0.750]]
}